1.
Below is a crystal of Na5Ni9O18 relaxed with PBEsol, with properties calculated at the SCAN level.

Unit cell a=5.7062 b=7.5166 c=8.4892 alpha=100.43 beta=105.50 gamma=95.22
Space group P-1 (No. 2)
One atom of each set of equivalent atoms:
Na1 0.0000 0.0000 0.0000 [1 per cell]
Na2 0.0017 0.7088 0.4925 [2 per cell]
Na3 0.0073 0.3408 0.8739 [2 per cell]
Ni1 0.4943 0.8306 0.0572 [2 per cell]
Ni2 0.4942 0.8336 0.3918 [2 per cell]
Ni3 0.4976 0.5020 0.1686 [2 per cell]
Ni4 0.4998 0.1654 0.2731 [2 per cell]
Ni5 0.5000 0.5000 0.5000 [1 per cell]
O1 0.3089 0.6015 0.3334 [2 per cell]
O2 0.3103 0.9124 0.2001 [2 per cell]
O3 0.3136 0.5927 0.9932 [2 per cell]
O4 0.3172 0.5740 0.6480 [2 per cell]
O5 0.3251 0.2593 0.0883 [2 per cell]
O6 0.3269 0.2602 0.7560 [2 per cell]
O7 0.3269 0.9304 0.8742 [2 per cell]
O8 0.3281 0.9316 0.5457 [2 per cell]
O9 0.3322 0.2583 0.4219 [2 per cell]

## Properties
- DOS(E_F): 6.601 states/eV/cell
- Energy relative to the elements, uncorrected: -1.361 eV/atom
- Energy: -10.0735 eV per atom
- V: 341.3 Å³ per cell

=====

2.
Below is a crystal of Na2NiO2 relaxed with PBEsol, with properties calculated at the SCAN level.

Unit cell a=2.8090 b=9.9859 c=8.3061 alpha=90.00 beta=90.00 gamma=90.00
Space group Cmc2_1 (No. 36)
One atom of each set of equivalent atoms:
Na1 0.0000 0.1031 0.0000 [4 per cell]
Na2 0.0000 0.3501 0.8222 [4 per cell]
Ni1 0.0000 0.3778 0.1548 [4 per cell]
O1 0.0000 0.0221 0.7418 [4 per cell]
O2 0.0000 0.2199 0.5607 [4 per cell]

## Properties
- DOS(E_F): 0.000 states/eV/cell
- Energy relative to the elements, uncorrected: -1.436 eV/atom
- Energy: -8.8492 eV per atom
- ΔE to the lowest computed polymorph: 0 meV/atom
- V: 233.0 Å³ per cell

=====

3.
Below is a crystal of Na4Ni7O16 relaxed with PBEsol, with properties calculated at the SCAN level.

Unit cell a=6.9061 b=6.9753 c=7.4670 alpha=69.98 beta=78.73 gamma=64.90
Space group P1 (No. 1)
One atom of each set of equivalent atoms:
Na1 0.0000 0.0000 0.0000 [1 per cell]
Na2 0.1072 0.9066 0.4616 [1 per cell]
Na3 0.3446 0.1834 0.4429 [1 per cell]
Na4 0.5468 0.4474 0.5067 [1 per cell]
Ni1 0.0806 0.4181 0.7028 [1 per cell]
Ni2 0.2094 0.2975 0.0714 [1 per cell]
Ni3 0.4569 0.0383 0.8301 [1 per cell]
Ni4 0.5790 0.9151 0.2028 [1 per cell]
Ni5 0.7057 0.7890 0.5808 [1 per cell]
Ni6 0.8269 0.6613 0.9558 [1 per cell]
Ni7 0.9569 0.5482 0.3250 [1 per cell]
O1 0.0619 0.2652 0.3053 [1 per cell]
O2 0.0737 0.5980 0.0712 [1 per cell]
O3 0.1801 0.5195 0.4523 [1 per cell]
O4 0.2004 0.1171 0.7309 [1 per cell]
O5 0.3267 0.9974 0.0835 [1 per cell]
O6 0.3316 0.3395 0.8175 [1 per cell]
O7 0.4717 0.2168 0.1565 [1 per cell]
O8 0.4765 0.8334 0.4542 [1 per cell]
O9 0.5825 0.7396 0.8310 [1 per cell]
O10 0.6149 0.0691 0.6027 [1 per cell]
O11 0.7043 0.9561 0.9545 [1 per cell]
O12 0.7091 0.6137 0.2078 [1 per cell]
O13 0.8249 0.8467 0.3253 [1 per cell]
O14 0.8369 0.4920 0.5757 [1 per cell]
O15 0.9497 0.7128 0.7076 [1 per cell]
O16 0.9595 0.3659 0.9540 [1 per cell]

## Properties
- Energy relative to the elements, uncorrected: -1.226 eV/atom
- Energy: -9.7362 eV per atom
- V: 305.5 Å³ per cell

=====

4.
Below is a crystal of Na5Ni6O12 relaxed with PBEsol, with properties calculated at the SCAN level.

Unit cell a=5.8980 b=6.8079 c=6.8103 alpha=67.29 beta=77.60 gamma=66.02
Space group P-1 (No. 2)
One atom of each set of equivalent atoms:
Na1 0.0000 0.0000 0.0000 [1 per cell]
Na2 0.1847 0.3206 0.6782 [2 per cell]
Na3 0.3348 0.6832 0.3180 [2 per cell]
Ni1 0.0758 0.1689 0.3347 [2 per cell]
Ni2 0.2525 0.4975 0.9992 [2 per cell]
Ni3 0.4241 0.8326 0.6664 [2 per cell]
O1 0.0572 0.0526 0.6387 [2 per cell]
O2 0.0754 0.2877 0.0350 [2 per cell]
O3 0.2072 0.3915 0.3050 [2 per cell]
O4 0.2897 0.6123 0.6927 [2 per cell]
O5 0.4169 0.7149 0.9653 [2 per cell]
O6 0.4342 0.9527 0.3666 [2 per cell]

## Properties
- DOS(E_F): 9.001 states/eV/cell
- Energy relative to the elements, uncorrected: -1.442 eV/atom
- Energy: -9.8283 eV per atom
- V: 229.9 Å³ per cell